Record 1
This record from the Alexandria database describes a geometry-optimized La3Nd4Tm4 structure. The functional is PBE-GGA.

E, eV per atom: -4.53
Space-group type: Amm2
E_form, meV/atom: 170

a b c (Å): 11.6348 6.3795 6.3795
angles (deg): 53.77 90.00 90.00
With the nearest neighbours (Å) after each atom.
Fractional positions:
La1 0.0000 0.0000 0.0000  5 Tm 3.51-3.62, 7 Nd 3.56-3.89
La2 0.3196 0.1344 0.1344  4 Nd 3.51-3.65, 4 Tm 3.59-3.69
La3 0.6804 0.1344 0.1344  4 Nd 3.51-3.65, 4 Tm 3.59-3.69
Nd1 0.0000 0.6872 0.6872  4 Tm 3.20-3.31, 2 Nd 3.45, 1 La 3.56
Nd2 0.2243 0.4887 0.4887  4 Tm 3.32-3.46, 1 Nd 3.45, 2 La 3.51
Nd3 0.5000 0.7039 0.7039  3 Tm 3.20-3.56
Nd4 0.7757 0.4887 0.4887  4 Tm 3.32-3.46, 1 Nd 3.45, 2 La 3.51
Tm1 0.0000 0.3082 0.3082  4 Nd 3.20-3.32, 1 La 3.51
Tm2 0.2515 0.8236 0.8236  4 Nd 3.20-3.46, 1 La 3.55
Tm3 0.5000 0.3909 0.3909  5 Nd 3.39-3.58, 2 La 3.59
Tm4 0.7485 0.8236 0.8236  4 Nd 3.20-3.46, 1 La 3.55

=====

Record 2
This record from the Alexandria database describes a geometry-optimized La6Nd4Tm structure. The functional is PBE-GGA.

ΔE to the lowest computed polymorph, meV/atom: 155
E, eV per atom: -4.58
Space-group type: I-42m
E_form, meV/atom: 251

a b c (Å): 9.5908 9.5908 9.5908
angles (deg): 137.12 137.12 62.25
With the nearest neighbours (Å) after each atom.
Fractional positions:
La1 0.0000 0.5000 0.5000  4 Nd 3.14, 2 Tm 3.51
La2 0.0062 0.6299 0.0000  3 Nd 3.47-3.73, 1 Tm 3.52, 1 La 3.73
La3 0.3701 0.3701 0.3763  3 Nd 3.47-3.73, 1 Tm 3.52, 1 La 3.73
La4 0.5000 0.0000 0.5000  4 Nd 3.14, 2 Tm 3.51
La5 0.6299 0.0062 0.0000  3 Nd 3.47-3.73, 1 Tm 3.52, 1 La 3.73
La6 0.9938 0.9938 0.6237  3 Nd 3.47-3.73, 1 Tm 3.52, 1 La 3.73
Nd1 0.2227 0.2227 0.6594  3 La 3.14-3.47, 1 Nd 3.38
Nd2 0.4367 0.7773 0.0000  3 La 3.14-3.47, 1 Nd 3.38
Nd3 0.5633 0.5633 0.3406  3 La 3.14-3.47, 1 Nd 3.38
Nd4 0.7773 0.4367 0.0000  3 La 3.14-3.47, 1 Nd 3.38
Tm1 0.0000 0.0000 0.0000  8 La 3.51-3.52, 4 Nd 3.71

=====

Record 3
This record from the Alexandria database describes a geometry-optimized La6NdTm5 structure. The functional is PBE-GGA.

ΔE to the lowest computed polymorph, meV/atom: 48
E, eV per atom: -4.65
Space-group type: Immm
E_form, meV/atom: 72

a b c (Å): 10.1336 10.1336 10.1336
angles (deg): 146.10 134.47 57.96
With the nearest neighbours (Å) after each atom.
Fractional positions:
La1 0.0756 0.3303 0.7453  7 Tm 3.51-3.57, 1 Nd 3.61, 1 La 3.85
La2 0.2377 0.0000 0.2377  6 Tm 3.49-3.57, 2 Nd 3.60, 1 La 3.73
La3 0.4150 0.6697 0.7453  7 Tm 3.51-3.57, 1 Nd 3.61, 1 La 3.85
La4 0.5850 0.3303 0.2547  7 Tm 3.51-3.57, 1 Nd 3.61, 1 La 3.85
La5 0.7623 0.0000 0.7623  6 Tm 3.49-3.57, 2 Nd 3.60, 1 La 3.73
La6 0.9244 0.6697 0.2547  7 Tm 3.51-3.57, 1 Nd 3.61, 1 La 3.85
Nd1 0.5000 0.5000 0.0000  8 La 3.60-3.61, 2 Tm 3.92
Tm1 0.0000 0.5000 0.5000  8 La 3.49-3.57
Tm2 0.1674 0.1674 0.0000  8 La 3.51-3.53, 2 Tm 3.92
Tm3 0.3355 0.8355 0.5000  8 La 3.51-3.57, 2 Tm 3.92
Tm4 0.6645 0.1645 0.5000  8 La 3.51-3.57, 2 Tm 3.92
Tm5 0.8326 0.8326 0.0000  8 La 3.51-3.53, 2 Tm 3.92

=====

Record 4
This record from the Alexandria database describes a geometry-optimized La2Nd2Tm3 structure. The functional is PBE-GGA.

ΔE to the lowest computed polymorph, meV/atom: 0
E, eV per atom: -4.56
Space-group type: P2/m
E_form, meV/atom: 128

a b c (Å): 5.7431 3.4859 12.1453
angles (deg): 90.00 103.60 90.00
With the nearest neighbours (Å) after each atom.
Fractional positions:
La1 0.1481 0.0000 0.2959  2 La 3.49, 8 Tm 3.69-3.90, 4 Nd 3.79-3.80
La2 0.8519 0.0000 0.7041  2 La 3.49, 8 Tm 3.69-3.90, 4 Nd 3.79-3.80
Nd1 0.4273 0.5000 0.8532  3 Tm 3.33-3.35, 3 Nd 3.46-3.49
Nd2 0.5727 0.5000 0.1468  3 Tm 3.33-3.35, 3 Nd 3.46-3.49
Tm1 0.0000 0.5000 0.0000  4 Nd 3.35, 2 Tm 3.49
Tm2 0.2855 0.5000 0.5711  4 Tm 3.32-3.49, 1 Nd 3.33, 6 La 3.69-3.71
Tm3 0.7145 0.5000 0.4289  4 Tm 3.32-3.49, 1 Nd 3.33, 6 La 3.69-3.71

=====

Record 5
This record from the Alexandria database describes a geometry-optimized La6Nd4Tm structure. The functional is PBE-GGA.

ΔE to the lowest computed polymorph, meV/atom: 0
E, eV per atom: -4.73
Space-group type: Cmcm
E_form, meV/atom: 96

a b c (Å): 5.8002 5.8002 26.3050
angles (deg): 90.00 90.00 117.22
With the nearest neighbours (Å) after each atom.
Fractional positions:
La1 0.0000 0.0000 0.0000  8 Nd 3.32-3.68
La2 0.0000 0.0000 0.5000  8 Nd 3.32-3.68
La3 0.0609 0.9391 0.7500  2 Nd 3.30, 3 Tm 3.38-3.41, 2 La 3.65
La4 0.2930 0.7070 0.1043  5 Nd 3.42-3.69, 1 La 3.82
La5 0.2930 0.7070 0.3957  5 Nd 3.42-3.69, 1 La 3.82
La6 0.3854 0.6146 0.6842  3 La 3.46-3.82, 4 Nd 3.63-3.80, 3 Tm 3.74-3.85
La7 0.3854 0.6146 0.8158  3 La 3.46-3.82, 4 Nd 3.63-3.80, 3 Tm 3.74-3.85
La8 0.6146 0.3854 0.1842  3 La 3.46-3.82, 4 Nd 3.63-3.80, 3 Tm 3.74-3.85
La9 0.6146 0.3854 0.3158  3 La 3.46-3.82, 4 Nd 3.63-3.80, 3 Tm 3.74-3.85
La10 0.7070 0.2930 0.6043  5 Nd 3.42-3.69, 1 La 3.82
La11 0.7070 0.2930 0.8957  5 Nd 3.42-3.69, 1 La 3.82
La12 0.9391 0.0609 0.2500  2 Nd 3.30, 3 Tm 3.38-3.41, 2 La 3.65
Nd1 0.0551 0.9449 0.6245  6 La 3.30-3.63, 1 Nd 3.62
Nd2 0.0551 0.9449 0.8755  6 La 3.30-3.63, 1 Nd 3.62
Nd3 0.3525 0.6475 0.5448  8 La 3.56-3.97, 2 Nd 3.62-3.75
Nd4 0.3525 0.6475 0.9552  8 La 3.56-3.97, 2 Nd 3.62-3.75
Nd5 0.6475 0.3525 0.0448  8 La 3.56-3.97, 2 Nd 3.62-3.75
Nd6 0.6475 0.3525 0.4552  8 La 3.56-3.97, 2 Nd 3.62-3.75
Nd7 0.9449 0.0551 0.1245  6 La 3.30-3.63, 1 Nd 3.62
Nd8 0.9449 0.0551 0.3755  6 La 3.30-3.63, 1 Nd 3.62
Tm1 0.2804 0.7196 0.2500  5 La 3.38-3.74
Tm2 0.7196 0.2804 0.7500  5 La 3.38-3.74

=====

Record 6
This record from the Alexandria database describes a geometry-optimized LaNd6Tm2 structure. The functional is PBE-GGA.

ΔE to the lowest computed polymorph, meV/atom: 0
E, eV per atom: -4.54
Space-group type: C2/m
E_form, meV/atom: 177

a b c (Å): 6.1990 6.1990 15.5813
angles (deg): 101.85 101.85 32.59
With the nearest neighbours (Å) after each atom.
Fractional positions:
La1 0.0000 0.0000 0.0000  2 La 3.48, 8 Nd 3.52-3.70
Nd1 0.0398 0.0398 0.2329  6 Nd 3.48-3.61, 3 Tm 3.50-3.65, 1 La 3.56
Nd2 0.2926 0.2926 0.1071  6 Nd 3.48-3.71, 1 Tm 3.48, 3 La 3.52-3.70
Nd3 0.3734 0.3734 0.5629  4 Tm 3.48-3.63, 6 Nd 3.48-3.61
Nd4 0.6266 0.6266 0.4371  4 Tm 3.48-3.63, 6 Nd 3.48-3.61
Nd5 0.7074 0.7074 0.8929  6 Nd 3.48-3.71, 1 Tm 3.48, 3 La 3.52-3.70
Nd6 0.9602 0.9602 0.7671  6 Nd 3.48-3.61, 3 Tm 3.50-3.65, 1 La 3.56
Tm1 0.3323 0.3323 0.3352  8 Nd 3.48-3.65, 2 Tm 3.48
Tm2 0.6677 0.6677 0.6648  8 Nd 3.48-3.65, 2 Tm 3.48

=====

Record 7
This record from the Alexandria database describes a geometry-optimized LaNdTm5 structure. The functional is PBE-GGA.

ΔE to the lowest computed polymorph, meV/atom: 0
E, eV per atom: -4.41
Space-group type: Imma
E_form, meV/atom: 174

a b c (Å): 8.8408 8.8408 8.8408
angles (deg): 132.96 98.53 99.80
With the nearest neighbours (Å) after each atom.
Fractional positions:
La1 0.5000 0.0000 0.0000  2 La 3.53, 6 Tm 3.71-3.79, 2 Nd 3.82
La2 0.5000 0.5000 0.5000  2 La 3.53, 6 Tm 3.71-3.79, 2 Nd 3.82
Nd1 0.2030 0.4530 0.7500  8 Tm 3.41-3.53, 2 La 3.82
Nd2 0.7970 0.5470 0.2500  8 Tm 3.41-3.53, 2 La 3.82
Tm1 0.0000 0.2483 0.2483  8 Tm 3.36-3.55, 2 Nd 3.43
Tm2 0.0000 0.7517 0.7517  8 Tm 3.36-3.55, 2 Nd 3.43
Tm3 0.2053 0.9553 0.2500  6 Tm 3.41-3.43, 2 Nd 3.53, 2 La 3.79
Tm4 0.2169 0.2499 0.9670  7 Tm 3.36-3.53, 1 Nd 3.41, 2 La 3.71
Tm5 0.2172 0.7501 0.4670  7 Tm 3.36-3.53, 1 Nd 3.41, 2 La 3.71
Tm6 0.5000 0.2483 0.7483  8 Tm 3.36-3.55, 2 Nd 3.43
Tm7 0.5000 0.7517 0.2517  8 Tm 3.36-3.55, 2 Nd 3.43
Tm8 0.7828 0.2499 0.5330  7 Tm 3.36-3.53, 1 Nd 3.41, 2 La 3.71
Tm9 0.7831 0.7501 0.0330  7 Tm 3.36-3.53, 1 Nd 3.41, 2 La 3.71
Tm10 0.7947 0.0447 0.7500  6 Tm 3.41-3.43, 2 Nd 3.53, 2 La 3.79

=====

Record 8
This record from the Alexandria database describes a geometry-optimized LaNd2Tm12 structure. The functional is PBE-GGA.

E, eV per atom: -4.43
Space-group type: P2/m
E_form, meV/atom: 112

a b c (Å): 3.5275 5.5568 24.2925
angles (deg): 90.00 94.15 90.00
With the nearest neighbours (Å) after each atom.
Fractional positions:
La1 0.0000 0.0000 0.0000  2 Tm 3.35, 2 La 3.53
Nd1 0.3623 0.0000 0.7256  2 Nd 3.53, 10 Tm 3.59-3.74
Nd2 0.6377 0.0000 0.2744  2 Nd 3.53, 10 Tm 3.59-3.74
Tm1 0.0708 0.0000 0.1381  4 Tm 3.18-3.53, 1 La 3.35
Tm2 0.1020 0.5000 0.2024  7 Tm 3.17-3.53
Tm3 0.1664 0.5000 0.3332  5 Tm 3.17-3.53
Tm4 0.2154 0.0000 0.4299  8 Tm 3.31-3.63
Tm5 0.2762 0.5000 0.5538  8 Tm 3.15-3.32
Tm6 0.4610 0.5000 0.9229  9 Tm 3.51-3.74, 4 La 3.78-3.79
Tm7 0.5390 0.5000 0.0771  9 Tm 3.51-3.74, 4 La 3.78-3.79
Tm8 0.7238 0.5000 0.4462  8 Tm 3.15-3.32
Tm9 0.7846 0.0000 0.5701  8 Tm 3.31-3.63
Tm10 0.8336 0.5000 0.6668  5 Tm 3.17-3.53
Tm11 0.8980 0.5000 0.7976  7 Tm 3.17-3.53
Tm12 0.9292 0.0000 0.8619  4 Tm 3.18-3.53, 1 La 3.35

=====

Which value of E does entry 4 give?
-4.56 eV per atom